Cu2SnS3: optimized geometry, GGA-PBE.

Cell: 6.7017 6.7017 6.7327 Å, 99.71 99.71 120.00°
With the nearest neighbours (Å) after each atom.
Element x y z (fractional)
Cu 0.0815 0.9185 0.5000  4 S 2.31-2.34
Cu 0.2366 0.7414 0.0000  4 S 2.31-2.34
Cu 0.7414 0.2366 0.5000  4 S 2.31-2.34
Cu 0.9185 0.0815 0.0000  4 S 2.31-2.34
Sn 0.3861 0.5712 0.4826  4 S 2.44-2.55
Sn 0.5712 0.3861 0.9826  4 S 2.44-2.55
S 0.0073 0.1765 0.3639  3 Cu 2.31-2.32, 1 Sn 2.44
S 0.1765 0.0073 0.8639  3 Cu 2.31-2.32, 1 Sn 2.44
S 0.3621 0.8847 0.3637  3 Cu 2.31-2.32, 1 Sn 2.44
S 0.5376 0.7208 0.8835  2 Cu 2.34, 2 Sn 2.54-2.55
S 0.7208 0.5376 0.3835  2 Cu 2.34, 2 Sn 2.54-2.55
S 0.8847 0.3621 0.8637  3 Cu 2.31-2.32, 1 Sn 2.44



Cu2SnS2: optimized geometry, GGA-PBE.

Cell: 7.1075 7.1075 3.3203 Å, 90.00 90.00 90.00°
With the nearest neighbours (Å) after each atom.
Element x y z (fractional)
Cu 0.1244 0.3756 0.0000  1 Cu 2.50, 6 S 2.60-2.73
Cu 0.3756 0.8756 0.0000  1 Cu 2.50, 6 S 2.60-2.73
Cu 0.6244 0.1244 0.0000  1 Cu 2.50, 6 S 2.60-2.73
Cu 0.8756 0.6244 0.0000  1 Cu 2.50, 6 S 2.60-2.73
Sn 0.0000 0.0000 0.0000  4 Cu 2.81, 8 S 3.10
Sn 0.5000 0.5000 0.0000  4 Cu 2.81, 8 S 3.10
S 0.1766 0.6766 0.5000  6 Cu 2.60-2.73
S 0.3234 0.1766 0.5000  6 Cu 2.60-2.73
S 0.6766 0.8234 0.5000  6 Cu 2.60-2.73
S 0.8234 0.3234 0.5000  6 Cu 2.60-2.73



Cu2SnS3: optimized geometry, GGA-PBE.

Cell: 12.8386 6.7195 12.2304 Å, 79.52 30.97 69.51°
With the nearest neighbours (Å) after each atom.
Element x y z (fractional)
Cu 0.0000 0.0000 0.0000  4 S 2.31
Cu 0.0933 0.4111 0.0738  4 S 2.31-2.35
Cu 0.1762 0.8282 0.1567  4 S 2.31-2.35
Cu 0.2500 0.2500 0.2500  4 S 2.31
Cu 0.4111 0.0933 0.4218  4 S 2.31-2.35
Cu 0.4935 0.4935 0.5065  4 S 2.31-2.35
Cu 0.7435 0.7435 0.7565  4 S 2.31-2.35
Cu 0.8282 0.1762 0.8389  4 S 2.31-2.35
Sn 0.3447 0.6555 0.3133  4 S 2.44-2.55
Sn 0.5635 0.9367 0.5945  4 S 2.44-2.55
Sn 0.6555 0.3447 0.6865  4 S 2.44-2.55
Sn 0.9367 0.5635 0.9053  4 S 2.44-2.55
S 0.0481 0.1823 0.7856  3 Cu 2.31, 1 Sn 2.44
S 0.1350 0.6296 0.8754  3 Cu 2.31, 1 Sn 2.44
S 0.1823 0.0481 0.9839  3 Cu 2.31, 1 Sn 2.44
S 0.2661 0.4644 0.0677  3 Cu 2.31, 1 Sn 2.44
S 0.3746 0.8900 0.1150  3 Cu 2.31, 1 Sn 2.44
S 0.4644 0.2661 0.2019  3 Cu 2.31, 1 Sn 2.44
S 0.5348 0.7178 0.3072  2 Cu 2.35, 2 Sn 2.55
S 0.6296 0.1350 0.3600  3 Cu 2.31, 1 Sn 2.44
S 0.7178 0.5348 0.4403  2 Cu 2.35, 2 Sn 2.55
S 0.8097 0.9428 0.5322  2 Cu 2.35, 2 Sn 2.55
S 0.8900 0.3746 0.6204  3 Cu 2.31, 1 Sn 2.44
S 0.9428 0.8097 0.7152  2 Cu 2.35, 2 Sn 2.55



Cu2SnS4: optimized geometry, GGA-PBE.

Cell: 5.0551 5.0551 11.0883 Å, 90.00 90.00 100.91°
With the nearest neighbours (Å) after each atom.
Element x y z (fractional)
Cu 0.0768 0.7741 0.0000  4 S 2.30-2.50, 1 Cu 2.55
Cu 0.2259 0.9232 0.5000  4 S 2.30-2.50, 1 Cu 2.55
Cu 0.7741 0.0768 0.5000  4 S 2.30-2.50, 1 Cu 2.55
Cu 0.9232 0.2259 0.0000  4 S 2.30-2.50, 1 Cu 2.55
Sn 0.5000 0.5000 0.2500  4 S 2.69
Sn 0.5000 0.5000 0.7500  4 S 2.69
S 0.0000 0.5000 0.1671  2 Cu 2.30
S 0.0000 0.5000 0.8329  2 Cu 2.30
S 0.1705 0.4035 0.5000  1 S 2.14, 1 Cu 2.34
S 0.4035 0.1705 0.0000  1 S 2.14, 1 Cu 2.34
S 0.5000 0.0000 0.3329  2 Cu 2.30
S 0.5000 0.0000 0.6671  2 Cu 2.30
S 0.5965 0.8295 0.0000  1 S 2.14, 1 Cu 2.34
S 0.8295 0.5965 0.5000  1 S 2.14, 1 Cu 2.34



CuSnS: optimized geometry, GGA-PBE.

Cell: 6.2519 6.1523 6.5340 Å, 90.00 107.85 90.00°
With the nearest neighbours (Å) after each atom.
Element x y z (fractional)
Cu 0.1983 0.0185 0.2252  3 S 2.35-2.44
Cu 0.1983 0.4815 0.7252  3 S 2.35-2.44
Cu 0.8017 0.5185 0.2748  3 S 2.35-2.44
Cu 0.8017 0.9815 0.7748  3 S 2.35-2.44
Sn 0.3555 0.6257 0.1460  1 S 2.61, 3 Cu 2.72-2.77
Sn 0.3555 0.8743 0.6460  1 S 2.61, 3 Cu 2.72-2.77
Sn 0.6445 0.1257 0.3540  1 S 2.61, 3 Cu 2.72-2.77
Sn 0.6445 0.3743 0.8540  1 S 2.61, 3 Cu 2.72-2.77
S 0.1655 0.1301 0.8590  3 Cu 2.35-2.44, 1 Sn 2.61
S 0.1655 0.3699 0.3590  3 Cu 2.35-2.44, 1 Sn 2.61
S 0.8345 0.6301 0.6410  3 Cu 2.35-2.44, 1 Sn 2.61
S 0.8345 0.8699 0.1410  3 Cu 2.35-2.44, 1 Sn 2.61



Cu2Sn2S5: optimized geometry, GGA-PBE.

Cell: 10.0253 10.0253 6.2953 Å, 104.54 104.54 21.03°
With the nearest neighbours (Å) after each atom.
Element x y z (fractional)
Cu 0.1854 0.1854 0.3647  4 S 2.25-2.42
Cu 0.8146 0.8146 0.6353  4 S 2.25-2.42
Sn 0.4138 0.4138 0.2495  5 S 2.52-2.71
Sn 0.5862 0.5862 0.7505  5 S 2.52-2.71
S 0.0000 0.0000 0.5000  4 Sn 2.71
S 0.1069 0.1069 0.0341  1 Cu 2.25, 2 Sn 2.52
S 0.3114 0.3114 0.4217  3 Cu 2.26-2.42, 1 Sn 2.52
S 0.6886 0.6886 0.5783  3 Cu 2.26-2.42, 1 Sn 2.52
S 0.8931 0.8931 0.9659  1 Cu 2.25, 2 Sn 2.52



SrCuSn2S4: optimized geometry, GGA-PBE.

Cell: 6.8663 6.8663 13.9382 Å, 90.00 90.00 145.88°
With the nearest neighbours (Å) after each atom.
Element x y z (fractional)
Sr 0.1080 0.8920 0.7500  6 S 3.05-3.10
Sr 0.8920 0.1080 0.2500  6 S 3.05-3.10
Cu 0.1571 0.8429 0.2500  4 S 2.34-2.35
Cu 0.8429 0.1571 0.7500  4 S 2.34-2.35
Sn 0.3669 0.6331 0.5561  6 S 2.77-2.89
Sn 0.3669 0.6331 0.9439  6 S 2.77-2.89
Sn 0.6331 0.3669 0.0561  6 S 2.77-2.89
Sn 0.6331 0.3669 0.4439  6 S 2.77-2.89
S 0.0000 0.0000 0.0000  4 Sn 2.78
S 0.0000 0.0000 0.5000  4 Sn 2.78
S 0.2746 0.7254 0.1225  1 Cu 2.35
S 0.2746 0.7254 0.3775  1 Cu 2.35
S 0.4333 0.5667 0.7500  2 Cu 2.34
S 0.5667 0.4333 0.2500  2 Cu 2.34
S 0.7254 0.2746 0.6225  1 Cu 2.35
S 0.7254 0.2746 0.8775  1 Cu 2.35



Sr2CuSnS5: optimized geometry, GGA-PBE.

Cell: 9.0763 9.0763 12.0930 Å, 90.00 90.00 155.24°
With the nearest neighbours (Å) after each atom.
Element x y z (fractional)
Sr 0.1162 0.8838 0.5000  7 S 2.98-3.23
Sr 0.1238 0.8762 0.1215  7 S 2.98-3.12
Sr 0.8762 0.1238 0.6215  7 S 2.98-3.12
Sr 0.8838 0.1162 0.0000  7 S 2.98-3.23
Cu 0.4540 0.5460 0.2400  3 S 2.20-2.23
Cu 0.5460 0.4540 0.7400  3 S 2.20-2.23
Sn 0.2111 0.7889 0.8188  6 S 2.52-2.65
Sn 0.7889 0.2111 0.3188  6 S 2.52-2.65
S 0.0624 0.9376 0.8264  2 Cu 2.23
S 0.2880 0.7120 0.4663  2 Sn 2.64
S 0.2965 0.7035 0.1706  2 Sn 2.65, 1 Cu 2.91
S 0.3534 0.6466 0.8124  1 Sn 2.52
S 0.4985 0.5015 0.5715  1 Cu 2.20
S 0.5015 0.4985 0.0715  1 Cu 2.20
S 0.6466 0.3534 0.3124  1 Sn 2.52
S 0.7035 0.2965 0.6706  2 Sn 2.65, 1 Cu 2.91
S 0.7120 0.2880 0.9663  2 Sn 2.64
S 0.9376 0.0624 0.3264  2 Cu 2.23



Short version: formation energy without anion corrections = -0.33, 0.12, -0.33, -0.09, -0.18, -0.23, -0.77, -1.08 eV/atom, in the order given.
Short version: raw total energy = -4.43, -3.97, -4.43, -4.19, -4.26, -4.33, -4.56, -4.64 eV per atom, in the order given.
Short version: N(E_F) = 0.067, 0.259, 0.138, 0.641, 0.284, 0.445, 0.369, 0.272 states/eV/atom, in the order given.